1.
{"formula": "BiCSe2F", "functional": "PBE", "state": "relaxed", "energy_ev_per_atom": -3.239, "spacegroup": "No. 123", "cell": [[-3.532, 0.713, 3.265], [2.213, -1.835, 2.796], [1.991, 4.265, 1.222]], "species": ["C", "Se", "Se", "Bi", "F"], "frac_coords": [[0.000, 0.500, 0.000], [0.500, 0.000, 0.000], [0.000, 0.000, 0.500], [0.500, 0.500, 0.500], [0.000, 0.000, 0.000]]}

2.
{"formula": "Tl2CuAsI6", "functional": "PBE", "state": "relaxed", "energy_ev_per_atom": -2.586, "spacegroup": "No. 14", "cell": [[-5.084, -4.621, -3.888], [5.410, -6.139, 0.223], [-4.325, -3.459, 9.681]], "species": ["I", "I", "Tl", "Tl", "As", "Tl", "I", "I", "I", "Tl", "Cu", "I", "I", "I", "I", "As", "I", "I", "I", "Cu"], "frac_coords": [[0.298, 0.295, 0.961], [0.421, 0.004, 0.243], [0.476, 0.581, 0.751], [0.976, 0.919, 0.251], [0.500, 0.000, 0.500], [0.024, 0.081, 0.749], [0.079, 0.504, 0.257], [0.579, 0.996, 0.757], [0.202, 0.795, 0.539], [0.524, 0.419, 0.249], [0.000, 0.500, 0.500], [0.797, 0.203, 0.036], [0.203, 0.797, 0.964], [0.702, 0.705, 0.039], [0.297, 0.297, 0.536], [0.000, 0.500, 0.000], [0.921, 0.496, 0.743], [0.798, 0.205, 0.461], [0.703, 0.703, 0.464], [0.500, 0.000, 0.000]]}